A plane-wave DFT calculation with meta-GGA SCAN was carried out for ZrAl2FeCl at its PBEsol-relaxed geometry.

Output
Fermi-level density of states ... 0.387 states/eV per atom
Total DFT energy (no corrections) ... -14.5923 eV per atom
Space group ... P4/mmm (123)

Cell lengths 4.538, 4.538, 4.616 Å; angles 90.00, 90.00, 90.00 degrees
Sites, in units of the cell vectors:
Zr (0.000, 0.000, 0.000)
Al (0.000, 0.500, 0.500)
Al (0.500, 0.000, 0.500)
Fe (0.000, 0.000, 0.500)
Cl (0.500, 0.500, 0.000)